Entry from Alexandria: a geometry-optimized HfSnGeO6 structure (PBE).

a = 5.165 Å, b = 5.165 Å, c = 8.971 Å
α = 90.00°, β = 90.00°, γ = 120.00°
Fractional coordinates of all 18 atoms:
Hf 0.333 0.667 0.250
Hf 0.667 0.333 0.750
Sn 0.000 0.000 0.000
Sn 0.000 0.000 0.500
Ge 0.333 0.667 0.750
Ge 0.667 0.333 0.250
O 0.022 0.354 0.631
O 0.022 0.668 0.869
O 0.332 0.354 0.869
O 0.332 0.978 0.631
O 0.354 0.022 0.131
O 0.354 0.332 0.369
O 0.646 0.668 0.631
O 0.646 0.978 0.869
O 0.668 0.022 0.369
O 0.668 0.646 0.131
O 0.978 0.332 0.131
O 0.978 0.646 0.369

Computed properties:
* symmetry: P-31c
* DOS(E_F): 0.0 states/eV/cell
* mass density: 7.5 g cm⁻³
* formation energy (no corrections): -19.28 eV per formula unit

Entry from Alexandria: a geometry-optimized SrHfGeO5 structure (PBE).

a = 5.869 Å, b = 5.869 Å, c = 7.582 Å
α = 104.04°, β = 104.04°, γ = 106.07°
Fractional coordinates of all 16 atoms:
Sr 0.171 0.829 0.750
Sr 0.829 0.171 0.250
Hf 0.500 0.500 0.000
Hf 0.500 0.500 0.500
Ge 0.182 0.818 0.250
Ge 0.818 0.182 0.750
O 0.123 0.251 0.911
O 0.192 0.612 0.388
O 0.251 0.123 0.411
O 0.388 0.808 0.112
O 0.428 0.572 0.750
O 0.572 0.428 0.250
O 0.612 0.192 0.888
O 0.749 0.877 0.589
O 0.808 0.388 0.612
O 0.877 0.749 0.089

Computed properties:
* symmetry: C2/c
* DOS(E_F): 0.0 states/eV/cell
* mass density: 6.1 g cm⁻³
* formation energy (no corrections): -22.44 eV per formula unit

Entry from Alexandria: a geometry-optimized Sr2HfGeO6 structure (PBE).

a = 4.056 Å, b = 4.056 Å, c = 7.849 Å
α = 90.00°, β = 90.00°, γ = 90.00°
Fractional coordinates of all 10 atoms:
Sr 0.000 0.000 0.234
Sr 0.000 0.000 0.766
Hf 0.500 0.500 0.500
Ge 0.500 0.500 0.000
O 0.000 0.500 0.000
O 0.000 0.500 0.500
O 0.500 0.000 0.000
O 0.500 0.000 0.500
O 0.500 0.500 0.234
O 0.500 0.500 0.766

Computed properties:
* symmetry: P4/mmm
* DOS(E_F): 0.0 states/eV/cell
* mass density: 6.7 g cm⁻³
* formation energy (no corrections): -27.73 eV per formula unit

Entry from Alexandria: a geometry-optimized HfTlGeO5 structure (PBE).

a = 5.872 Å, b = 5.872 Å, c = 7.756 Å
α = 105.20°, β = 105.20°, γ = 104.21°
Fractional coordinates of all 16 atoms:
Hf 0.000 0.000 0.000
Hf 0.000 0.000 0.500
Tl 0.324 0.676 0.750
Tl 0.676 0.324 0.250
Ge 0.321 0.679 0.250
Ge 0.679 0.321 0.750
O 0.071 0.929 0.750
O 0.121 0.700 0.387
O 0.247 0.369 0.095
O 0.300 0.879 0.113
O 0.369 0.247 0.595
O 0.631 0.753 0.405
O 0.700 0.121 0.887
O 0.753 0.631 0.905
O 0.879 0.300 0.613
O 0.929 0.071 0.250

Computed properties:
* symmetry: C2/c
* DOS(E_F): 4.6 states/eV/cell
* mass density: 7.6 g cm⁻³
* formation energy (no corrections): -16.51 eV per formula unit

Entry from Alexandria: a geometry-optimized YHfGe2O8 structure (PBE).

a = 5.847 Å, b = 5.847 Å, c = 5.847 Å
α = 107.31°, β = 107.31°, γ = 113.88°
Fractional coordinates of all 12 atoms:
Y 0.000 0.000 0.000
Hf 0.750 0.250 0.500
Ge 0.250 0.750 0.500
Ge 0.500 0.500 0.000
O 0.053 0.375 0.321
O 0.053 0.732 0.679
O 0.125 0.320 0.805
O 0.268 0.947 0.321
O 0.515 0.320 0.195
O 0.625 0.947 0.679
O 0.680 0.485 0.805
O 0.680 0.875 0.195

Computed properties:
* symmetry: I-4m2
* DOS(E_F): 10.1 states/eV/cell
* mass density: 5.9 g cm⁻³
* formation energy (no corrections): -28.39 eV per formula unit

Entry from Alexandria: a geometry-optimized HfZn2GeO structure (PBE).

a = 4.448 Å, b = 4.448 Å, c = 5.209 Å
α = 90.00°, β = 90.00°, γ = 90.00°
Fractional coordinates of all 5 atoms:
Hf 0.000 0.000 0.000
Zn 0.000 0.500 0.500
Zn 0.500 0.000 0.500
Ge 0.000 0.000 0.500
O 0.500 0.500 0.000

Computed properties:
* symmetry: P4/mmm
* DOS(E_F): 4.1 states/eV/cell
* mass density: 6.4 g cm⁻³
* formation energy (no corrections): 3.08 eV per formula unit

Entry from Alexandria: a geometry-optimized Hf2ZrGeO structure (PBE).

a = 4.268 Å, b = 4.268 Å, c = 4.707 Å
α = 90.00°, β = 90.00°, γ = 90.00°
Fractional coordinates of all 5 atoms:
Hf 0.000 0.500 0.000
Hf 0.500 0.000 0.000
Zr 0.000 0.000 0.500
Ge 0.500 0.500 0.500
O 0.000 0.000 0.000

Computed properties:
* symmetry: P4/mmm
* DOS(E_F): 3.8 states/eV/cell
* mass density: 10.4 g cm⁻³
* formation energy (no corrections): -5.23 eV per formula unit

Entry from Alexandria: a geometry-optimized HfGeOs structure (PBE).

a = 5.639 Å, b = 5.639 Å, c = 5.639 Å
α = 147.94°, β = 147.94°, γ = 45.98°
Fractional coordinates of all 3 atoms:
Hf 0.000 0.000 0.000
Ge 0.695 0.695 0.000
Os 0.330 0.330 0.000

Computed properties:
* symmetry: I4mm
* DOS(E_F): 1.2 states/eV/cell
* E_form: -287 meV per atom
* mass density: 14.6 g cm⁻³

Entry from Alexandria: a geometry-optimized Hf2Ge2Os structure (PBE).

a = 7.213 Å, b = 7.213 Å, c = 3.715 Å
α = 90.00°, β = 90.00°, γ = 90.00°
Fractional coordinates of all 10 atoms:
Hf 0.180 0.320 0.000
Hf 0.320 0.820 0.000
Hf 0.680 0.180 0.000
Hf 0.820 0.680 0.000
Ge 0.124 0.624 0.500
Ge 0.376 0.124 0.500
Ge 0.624 0.876 0.500
Ge 0.876 0.376 0.500
Os 0.000 0.000 0.000
Os 0.500 0.500 0.000

Computed properties:
* symmetry: P4/mbm
* DOS(E_F): 5.7 states/eV/cell
* E_form: 154 meV per atom
* mass density: 11.9 g cm⁻³

Entry from Alexandria: a geometry-optimized HfGe2Os2 structure (PBE).

a = 7.361 Å, b = 7.361 Å, c = 2.921 Å
α = 90.00°, β = 90.00°, γ = 90.00°
Fractional coordinates of all 10 atoms:
Hf 0.000 0.000 0.000
Hf 0.500 0.500 0.000
Ge 0.147 0.353 0.000
Ge 0.353 0.853 0.000
Ge 0.647 0.147 0.000
Ge 0.853 0.647 0.000
Os 0.148 0.648 0.500
Os 0.352 0.148 0.500
Os 0.648 0.852 0.500
Os 0.852 0.352 0.500

Computed properties:
* symmetry: P4/mbm
* DOS(E_F): 5.0 states/eV/cell
* E_form: -30 meV per atom
* mass density: 14.8 g cm⁻³

Entry from Alexandria: a geometry-optimized Hf2GeOs2 structure (PBE).

a = 7.516 Å, b = 7.516 Å, c = 3.225 Å
α = 90.00°, β = 90.00°, γ = 90.00°
Fractional coordinates of all 10 atoms:
Hf 0.162 0.338 0.000
Hf 0.338 0.838 0.000
Hf 0.662 0.162 0.000
Hf 0.838 0.662 0.000
Ge 0.000 0.000 0.500
Ge 0.500 0.500 0.500
Os 0.136 0.636 0.500
Os 0.364 0.136 0.500
Os 0.636 0.864 0.500
Os 0.864 0.364 0.500

Computed properties:
* symmetry: P4/mbm
* DOS(E_F): 13.6 states/eV/cell
* E_form: -141 meV per atom
* mass density: 14.8 g cm⁻³

Entry from Alexandria: a geometry-optimized HfGeOs structure (PBE).

a = 4.334 Å, b = 4.334 Å, c = 3.123 Å
α = 90.00°, β = 90.00°, γ = 120.00°
Fractional coordinates of all 3 atoms:
Hf 0.000 0.000 0.000
Ge 0.333 0.667 0.500
Os 0.667 0.333 0.500

Computed properties:
* symmetry: P-6m2
* DOS(E_F): 2.0 states/eV/cell
* E_form: -442 meV per atom
* mass density: 14.4 g cm⁻³